Entry 1:
Crystalline KAlP2O8 at its relaxed geometry. Source: the Alexandria database, functional PBE-GGA.

Structure (CIF):
```
data_KAlP2O8
_chemical_formula_sum 'K1 Al1 P2 O8'
_cell_length_a 5.145
_cell_length_b 5.145
_cell_length_c 7.684
_cell_angle_alpha 90.00
_cell_angle_beta 90.00
_cell_angle_gamma 120.00
_space_group_name_H-M_alt 'P 1'
_space_group_IT_number 1
loop_
_space_group_symop_operation_xyz
'x,y,z'
loop_
_atom_site_label
_atom_site_type_symbol
_atom_site_fract_x
_atom_site_fract_y
_atom_site_fract_z
P1 P 0.667 0.333 0.293
P2 P 0.333 0.667 0.707
O1 O 0.832 0.660 0.357
O2 O 0.333 0.667 0.907
O3 O 0.828 0.168 0.357
O4 O 0.340 0.172 0.357
O5 O 0.168 0.340 0.643
O6 O 0.660 0.828 0.643
O7 O 0.667 0.333 0.093
O8 O 0.172 0.832 0.643
Al1 Al 0.000 0.000 0.500
K1 K 0.000 0.000 0.000
```

## Properties
SG: P-3
formation energy (no corrections): -2.133 eV per atom
total moment: 2.04 μB per formula unit
E_tot: -6.744 eV/atom



Entry 2:
Crystalline K2Al2P2O at its relaxed geometry. Source: the Alexandria database, functional PBE-GGA.

Structure (CIF):
```
data_K2Al2P2O
_chemical_formula_sum 'K2 Al2 P2 O1'
_cell_length_a 3.891
_cell_length_b 7.285
_cell_length_c 7.796
_cell_angle_alpha 47.13
_cell_angle_beta 90.00
_cell_angle_gamma 74.51
_space_group_name_H-M_alt 'P 1'
_space_group_IT_number 1
loop_
_space_group_symop_operation_xyz
'x,y,z'
loop_
_atom_site_label
_atom_site_type_symbol
_atom_site_fract_x
_atom_site_fract_y
_atom_site_fract_z
Al1 Al 0.170 0.660 0.286
Al2 Al 0.830 0.340 0.714
K1 K 0.563 0.874 0.788
K2 K 0.437 0.126 0.212
P1 P 0.203 0.595 0.638
P2 P 0.797 0.405 0.362
O1 O 0.000 0.000 0.000
```

## Properties
SG: C2/m
formation energy (no corrections): -1.185 eV per atom
total moment: 0.00 μB per formula unit
E_tot: -4.821 eV/atom



Entry 3:
Crystalline KAlPO4 at its relaxed geometry. Source: the Alexandria database, functional PBE-GGA.

Structure (CIF):
```
data_KAlPO4
_chemical_formula_sum 'K1 Al1 P1 O4'
_cell_length_a 5.535
_cell_length_b 5.535
_cell_length_c 5.535
_cell_angle_alpha 60.00
_cell_angle_beta 60.00
_cell_angle_gamma 60.00
_space_group_name_H-M_alt 'P 1'
_space_group_IT_number 1
loop_
_space_group_symop_operation_xyz
'x,y,z'
loop_
_atom_site_label
_atom_site_type_symbol
_atom_site_fract_x
_atom_site_fract_y
_atom_site_fract_z
O1 O 0.366 0.366 0.366
O2 O 0.366 0.901 0.366
O3 O 0.901 0.366 0.366
O4 O 0.366 0.366 0.901
Al1 Al 0.500 0.500 0.500
K1 K 0.750 0.750 0.750
P1 P 0.250 0.250 0.250
```

## Properties
SG: F-43m
formation energy (no corrections): -2.069 eV per atom
total moment: 0.00 μB per formula unit
E_tot: -6.366 eV/atom



Entry 4:
Crystalline K3Al2P3O12 at its relaxed geometry. Source: the Alexandria database, functional PBE-GGA.

Structure (CIF):
```
data_K3Al2P3O12
_chemical_formula_sum 'K12 Al8 P12 O48'
_cell_length_a 8.593
_cell_length_b 8.849
_cell_length_c 17.116
_cell_angle_alpha 90.00
_cell_angle_beta 90.00
_cell_angle_gamma 90.00
_space_group_name_H-M_alt 'P 1'
_space_group_IT_number 1
loop_
_space_group_symop_operation_xyz
'x,y,z'
loop_
_atom_site_label
_atom_site_type_symbol
_atom_site_fract_x
_atom_site_fract_y
_atom_site_fract_z
O1 O 0.795 0.091 0.028
O2 O 0.333 0.630 0.939
O3 O 0.882 0.727 0.725
O4 O 0.868 0.318 0.632
O5 O 0.265 0.706 0.075
O6 O 0.117 0.216 0.690
O7 O 0.295 0.409 0.528
O8 O 0.820 0.530 0.205
O9 O 0.431 0.782 0.798
O10 O 0.536 0.767 0.022
O11 O 0.833 0.870 0.439
O12 O 0.431 0.282 0.702
O13 O 0.931 0.718 0.298
O14 O 0.833 0.370 0.061
O15 O 0.106 0.085 0.294
O16 O 0.368 0.682 0.368
O17 O 0.617 0.284 0.190
O18 O 0.382 0.773 0.225
O19 O 0.897 0.038 0.664
O20 O 0.765 0.294 0.925
O21 O 0.265 0.206 0.425
O22 O 0.413 0.718 0.652
O23 O 0.820 0.030 0.295
O24 O 0.413 0.218 0.848
O25 O 0.606 0.915 0.706
O26 O 0.897 0.538 0.836
O27 O 0.295 0.909 0.972
O28 O 0.606 0.415 0.794
O29 O 0.931 0.218 0.202
O30 O 0.117 0.716 0.810
O31 O 0.382 0.273 0.275
O32 O 0.765 0.794 0.575
O33 O 0.617 0.784 0.310
O34 O 0.868 0.818 0.868
O35 O 0.397 0.962 0.336
O36 O 0.397 0.462 0.164
O37 O 0.913 0.782 0.152
O38 O 0.036 0.233 0.978
O39 O 0.536 0.267 0.478
O40 O 0.036 0.733 0.522
O41 O 0.320 0.970 0.705
O42 O 0.106 0.585 0.206
O43 O 0.320 0.470 0.795
O44 O 0.882 0.227 0.775
O45 O 0.368 0.182 0.132
O46 O 0.333 0.130 0.561
O47 O 0.795 0.591 0.472
O48 O 0.913 0.282 0.348
P1 P 0.935 0.204 0.688
P2 P 0.942 0.660 0.212
P3 P 0.363 0.761 0.002
P4 P 0.363 0.261 0.498
P5 P 0.442 0.340 0.788
P6 P 0.435 0.796 0.312
P7 P 0.935 0.704 0.812
P8 P 0.435 0.296 0.188
P9 P 0.863 0.239 0.998
P10 P 0.442 0.840 0.712
P11 P 0.863 0.739 0.502
P12 P 0.942 0.160 0.288
Al1 Al 0.301 0.649 0.838
Al2 Al 0.790 0.369 0.831
Al3 Al 0.801 0.851 0.338
Al4 Al 0.290 0.131 0.331
Al5 Al 0.290 0.631 0.169
Al6 Al 0.301 0.149 0.662
Al7 Al 0.801 0.351 0.162
Al8 Al 0.790 0.869 0.669
K1 K 0.107 0.012 0.099
K2 K 0.131 0.043 0.859
K3 K 0.131 0.543 0.641
K4 K 0.107 0.512 0.401
K5 K 0.607 0.988 0.901
K6 K 0.825 0.169 0.492
K7 K 0.631 0.957 0.141
K8 K 0.325 0.831 0.508
K9 K 0.825 0.669 0.008
K10 K 0.607 0.488 0.599
K11 K 0.325 0.331 0.992
K12 K 0.631 0.457 0.359
```

## Properties
SG: Pna2_1
formation energy (no corrections): -2.524 eV per atom
total moment: 0.07 μB per formula unit
E_tot: -6.849 eV/atom



Entry 5:
Crystalline KAlP2O at its relaxed geometry. Source: the Alexandria database, functional PBE-GGA.

Structure (CIF):
```
data_KAlP2O
_chemical_formula_sum 'K1 Al1 P2 O1'
_cell_length_a 5.358
_cell_length_b 5.358
_cell_length_c 3.419
_cell_angle_alpha 90.00
_cell_angle_beta 90.00
_cell_angle_gamma 90.00
_space_group_name_H-M_alt 'P 1'
_space_group_IT_number 1
loop_
_space_group_symop_operation_xyz
'x,y,z'
loop_
_atom_site_label
_atom_site_type_symbol
_atom_site_fract_x
_atom_site_fract_y
_atom_site_fract_z
O1 O 0.000 0.000 0.500
P1 P 0.500 0.000 0.000
P2 P 0.000 0.500 0.000
Al1 Al 0.000 0.000 0.000
K1 K 0.500 0.500 0.500
```

## Properties
SG: P4/mmm
formation energy (no corrections): -0.280 eV per atom
total moment: 0.00 μB per formula unit
energy relative to the lowest polymorph listed for this composition: 0.00 eV/f.u.
E_tot: -4.404 eV/atom



Entry 6:
Crystalline KAlP2O at its relaxed geometry. Source: the Alexandria database, functional PBE-GGA.

Structure (CIF):
```
data_KAlP2O
_chemical_formula_sum 'K1 Al1 P2 O1'
_cell_length_a 5.442
_cell_length_b 5.442
_cell_length_c 4.409
_cell_angle_alpha 90.00
_cell_angle_beta 90.00
_cell_angle_gamma 90.00
_space_group_name_H-M_alt 'P 1'
_space_group_IT_number 1
loop_
_space_group_symop_operation_xyz
'x,y,z'
loop_
_atom_site_label
_atom_site_type_symbol
_atom_site_fract_x
_atom_site_fract_y
_atom_site_fract_z
K1 K 0.000 0.000 0.000
Al1 Al 0.500 0.500 0.500
P1 P 0.000 0.500 0.000
P2 P 0.500 0.000 0.000
O1 O 0.000 0.000 0.500
```

## Properties
SG: P4/mmm
formation energy (no corrections): 1.532 eV per atom
total moment: 2.84 μB per formula unit
energy relative to the lowest polymorph listed for this composition: 9.06 eV/f.u.
E_tot: -2.592 eV/atom



Entry 7:
Crystalline K2AlSnP3O12 at its relaxed geometry. Source: the Alexandria database, functional PBE-GGA.

Structure (CIF):
```
data_K2AlSnP3O12
_chemical_formula_sum 'K8 Al4 Sn4 P12 O48'
_cell_length_a 9.936
_cell_length_b 9.936
_cell_length_c 9.936
_cell_angle_alpha 90.00
_cell_angle_beta 90.00
_cell_angle_gamma 90.00
_space_group_name_H-M_alt 'P 1'
_space_group_IT_number 1
loop_
_space_group_symop_operation_xyz
'x,y,z'
loop_
_atom_site_label
_atom_site_type_symbol
_atom_site_fract_x
_atom_site_fract_y
_atom_site_fract_z
O1 O 0.993 0.075 0.237
O2 O 0.925 0.737 0.507
O3 O 0.248 0.544 0.212
O4 O 0.712 0.252 0.456
O5 O 0.094 0.342 0.246
O6 O 0.906 0.842 0.254
O7 O 0.956 0.788 0.748
O8 O 0.658 0.746 0.406
O9 O 0.748 0.956 0.788
O10 O 0.575 0.263 0.007
O11 O 0.158 0.754 0.594
O12 O 0.252 0.456 0.712
O13 O 0.763 0.493 0.425
O14 O 0.667 0.013 0.555
O15 O 0.212 0.248 0.544
O16 O 0.007 0.575 0.263
O17 O 0.487 0.445 0.167
O18 O 0.555 0.667 0.013
O19 O 0.333 0.513 0.945
O20 O 0.254 0.906 0.842
O21 O 0.013 0.555 0.667
O22 O 0.425 0.763 0.493
O23 O 0.456 0.712 0.252
O24 O 0.507 0.925 0.737
O25 O 0.055 0.833 0.987
O26 O 0.246 0.094 0.342
O27 O 0.737 0.507 0.925
O28 O 0.987 0.055 0.833
O29 O 0.263 0.007 0.575
O30 O 0.833 0.987 0.055
O31 O 0.788 0.748 0.956
O32 O 0.288 0.752 0.044
O33 O 0.746 0.406 0.658
O34 O 0.754 0.594 0.158
O35 O 0.594 0.158 0.754
O36 O 0.752 0.044 0.288
O37 O 0.075 0.237 0.993
O38 O 0.342 0.246 0.094
O39 O 0.493 0.425 0.763
O40 O 0.406 0.658 0.746
O41 O 0.945 0.333 0.513
O42 O 0.044 0.288 0.752
O43 O 0.544 0.212 0.248
O44 O 0.842 0.254 0.906
O45 O 0.167 0.487 0.445
O46 O 0.237 0.993 0.075
O47 O 0.513 0.945 0.333
O48 O 0.445 0.167 0.487
P1 P 0.705 0.633 0.015
P2 P 0.795 0.367 0.515
P3 P 0.015 0.705 0.633
P4 P 0.205 0.867 0.985
P5 P 0.515 0.795 0.367
P6 P 0.633 0.015 0.705
P7 P 0.485 0.295 0.133
P8 P 0.295 0.133 0.485
P9 P 0.133 0.485 0.295
P10 P 0.867 0.985 0.205
P11 P 0.367 0.515 0.795
P12 P 0.985 0.205 0.867
Al1 Al 0.604 0.104 0.396
Al2 Al 0.104 0.396 0.604
Al3 Al 0.896 0.896 0.896
Al4 Al 0.396 0.604 0.104
K1 K 0.185 0.815 0.315
K2 K 0.454 0.454 0.454
K3 K 0.315 0.185 0.815
K4 K 0.685 0.685 0.685
K5 K 0.815 0.315 0.185
K6 K 0.954 0.046 0.546
K7 K 0.046 0.546 0.954
K8 K 0.546 0.954 0.046
Sn1 Sn 0.166 0.166 0.166
Sn2 Sn 0.666 0.334 0.834
Sn3 Sn 0.834 0.666 0.334
Sn4 Sn 0.334 0.834 0.666
```

## Properties
SG: P2_13
formation energy (no corrections): -2.308 eV per atom
total moment: 0.00 μB per formula unit
E_tot: -6.817 eV/atom



Entry 8:
Crystalline KPaAl2O6 at its relaxed geometry. Source: the Alexandria database, functional PBE-GGA.

Structure (CIF):
```
data_KPaAl2O6
_chemical_formula_sum 'K2 Pa2 Al4 O12'
_cell_length_a 5.990
_cell_length_b 7.482
_cell_length_c 7.482
_cell_angle_alpha 87.90
_cell_angle_beta 76.98
_cell_angle_gamma 76.98
_space_group_name_H-M_alt 'P 1'
_space_group_IT_number 1
loop_
_space_group_symop_operation_xyz
'x,y,z'
loop_
_atom_site_label
_atom_site_type_symbol
_atom_site_fract_x
_atom_site_fract_y
_atom_site_fract_z
K1 K 0.250 0.912 0.088
K2 K 0.750 0.088 0.912
O1 O 0.606 0.207 0.615
O2 O 0.289 0.269 0.993
O3 O 0.106 0.615 0.207
O4 O 0.789 0.993 0.269
O5 O 0.711 0.731 0.007
O6 O 0.141 0.634 0.707
O7 O 0.894 0.385 0.793
O8 O 0.211 0.007 0.731
O9 O 0.641 0.707 0.634
O10 O 0.859 0.366 0.293
O11 O 0.359 0.293 0.366
O12 O 0.394 0.793 0.385
Al1 Al 0.330 0.788 0.629
Al2 Al 0.170 0.371 0.212
Al3 Al 0.670 0.212 0.371
Al4 Al 0.830 0.629 0.788
Pa1 Pa 0.750 0.711 0.289
Pa2 Pa 0.250 0.289 0.711
```

## Properties
SG: C2/c
formation energy (no corrections): -2.954 eV per atom
total moment: 0.00 μB per formula unit
E_tot: -7.736 eV/atom



Entry 9:
Crystalline K2Pa3AlO12 at its relaxed geometry. Source: the Alexandria database, functional PBE-GGA.

Structure (CIF):
```
data_K2Pa3AlO12
_chemical_formula_sum 'K2 Pa3 Al1 O12'
_cell_length_a 7.584
_cell_length_b 7.584
_cell_length_c 7.584
_cell_angle_alpha 64.20
_cell_angle_beta 64.20
_cell_angle_gamma 64.20
_space_group_name_H-M_alt 'P 1'
_space_group_IT_number 1
loop_
_space_group_symop_operation_xyz
'x,y,z'
loop_
_atom_site_label
_atom_site_type_symbol
_atom_site_fract_x
_atom_site_fract_y
_atom_site_fract_z
Al1 Al 0.000 0.000 0.000
O1 O 0.676 0.045 0.676
O2 O 0.324 0.324 0.955
O3 O 0.054 0.717 0.054
O4 O 0.045 0.676 0.676
O5 O 0.283 0.946 0.946
O6 O 0.324 0.955 0.324
O7 O 0.676 0.676 0.045
O8 O 0.054 0.054 0.717
O9 O 0.717 0.054 0.054
O10 O 0.946 0.283 0.946
O11 O 0.946 0.946 0.283
O12 O 0.955 0.324 0.324
K1 K 0.654 0.654 0.654
K2 K 0.346 0.346 0.346
Pa1 Pa 0.000 0.500 0.000
Pa2 Pa 0.500 0.000 0.000
Pa3 Pa 0.000 0.000 0.500
```

## Properties
SG: R-3m
formation energy (no corrections): -2.597 eV per atom
total moment: 3.65 μB per formula unit
E_tot: -7.815 eV/atom



Entry 10:
Crystalline K2PaAl3O8 at its relaxed geometry. Source: the Alexandria database, functional PBE-GGA.

Structure (CIF):
```
data_K2PaAl3O8
_chemical_formula_sum 'K2 Pa1 Al3 O8'
_cell_length_a 6.095
_cell_length_b 6.095
_cell_length_c 7.400
_cell_angle_alpha 65.68
_cell_angle_beta 65.68
_cell_angle_gamma 60.00
_space_group_name_H-M_alt 'P 1'
_space_group_IT_number 1
loop_
_space_group_symop_operation_xyz
'x,y,z'
loop_
_atom_site_label
_atom_site_type_symbol
_atom_site_fract_x
_atom_site_fract_y
_atom_site_fract_z
O1 O 0.278 0.278 0.166
O2 O 0.695 0.213 0.879
O3 O 0.749 0.302 0.199
O4 O 0.213 0.695 0.879
O5 O 0.302 0.749 0.199
O6 O 0.749 0.749 0.199
O7 O 0.704 0.704 0.888
O8 O 0.213 0.213 0.879
Al1 Al 0.989 0.493 0.025
Al2 Al 0.493 0.989 0.025
Al3 Al 0.493 0.493 0.025
K1 K 0.487 0.487 0.539
K2 K 0.151 0.151 0.548
Pa1 Pa 0.977 0.977 0.070
```

## Properties
SG: R3m
formation energy (no corrections): -2.710 eV per atom
total moment: 0.07 μB per formula unit
E_tot: -7.180 eV/atom



Entry 11:
Crystalline K3PaAl2O8 at its relaxed geometry. Source: the Alexandria database, functional PBE-GGA.

Structure (CIF):
```
data_K3PaAl2O8
_chemical_formula_sum 'K3 Pa1 Al2 O8'
_cell_length_a 5.937
_cell_length_b 5.937
_cell_length_c 7.802
_cell_angle_alpha 90.00
_cell_angle_beta 90.00
_cell_angle_gamma 120.00
_space_group_name_H-M_alt 'P 1'
_space_group_IT_number 1
loop_
_space_group_symop_operation_xyz
'x,y,z'
loop_
_atom_site_label
_atom_site_type_symbol
_atom_site_fract_x
_atom_site_fract_y
_atom_site_fract_z
O1 O 0.667 0.333 0.968
O2 O 0.171 0.342 0.335
O3 O 0.658 0.829 0.335
O4 O 0.829 0.171 0.665
O5 O 0.171 0.829 0.335
O6 O 0.333 0.667 0.032
O7 O 0.342 0.171 0.665
O8 O 0.829 0.658 0.665
K1 K 0.667 0.333 0.300
K2 K 0.000 0.000 0.000
K3 K 0.333 0.667 0.700
Al1 Al 0.333 0.667 0.260
Al2 Al 0.667 0.333 0.740
Pa1 Pa 0.000 0.000 0.500
```

## Properties
SG: P-3m1
formation energy (no corrections): -2.409 eV per atom
total moment: 2.04 μB per formula unit
E_tot: -6.690 eV/atom



Entry 12:
Crystalline K2AlPbO4 at its relaxed geometry. Source: the Alexandria database, functional PBE-GGA.

Structure (CIF):
```
data_K2AlPbO4
_chemical_formula_sum 'K2 Al1 Pb1 O4'
_cell_length_a 5.905
_cell_length_b 5.905
_cell_length_c 5.905
_cell_angle_alpha 90.09
_cell_angle_beta 119.95
_cell_angle_gamma 119.95
_space_group_name_H-M_alt 'P 1'
_space_group_IT_number 1
loop_
_space_group_symop_operation_xyz
'x,y,z'
loop_
_atom_site_label
_atom_site_type_symbol
_atom_site_fract_x
_atom_site_fract_y
_atom_site_fract_z
O1 O 0.060 0.237 0.601
O2 O 0.940 0.541 0.177
O3 O 0.636 0.399 0.459
O4 O 0.364 0.823 0.763
Pb1 Pb 0.500 0.250 0.750
K1 K 0.000 0.000 0.000
K2 K 0.500 0.750 0.250
Al1 Al 0.000 0.500 0.500
```

## Properties
SG: I-4
formation energy (no corrections): -1.786 eV per atom
total moment: 0.87 μB per formula unit
E_tot: -5.471 eV/atom



Let's list N(E_F) in order: 5.8, 0.0, 0.7, 0.0, 3.8, 4.8, 0.0, 0.0, 13.5, 0.0, 7.6, 2.4 states/eV/f.u..